[1]
Computed, not measured: Tm2Ga2Ni after structural relaxation at the PBE level of DFT.

The structure in extended XYZ format:
```
10
Lattice="5.695 0.000 0.000 0.000 5.911 0.000 -2.847 -2.955 6.030" Properties=species:S:1:pos:R:3 pbc="T T T"
Tm 0.000 -1.268 4.048
Tm 0.000 1.687 1.982
Tm 2.847 1.268 4.048
Ga 0.000 4.839 0.932
Tm 2.847 4.223 1.982
Ni 1.424 2.955 0.000
Ga 0.000 1.884 5.098
Ga 2.847 -1.884 5.098
Ga 2.847 1.071 0.932
Ni 4.271 2.955 0.000
```

Density, Mg/m³: 8.8
Energy of formation, eV/atom: -0.483
E, Ry per atom: -0.341

[2]
Computed, not measured: Cs2MgSeCl6 after structural relaxation at the PBE level of DFT.

The structure in extended XYZ format:
```
10
Lattice="7.840 0.000 0.000 0.000 7.840 0.000 3.920 3.920 5.145" Properties=species:S:1:pos:R:3 pbc="T T T"
Cl 5.655 5.655 0.000
Mg 3.920 3.920 0.000
Cl 2.185 2.185 0.000
Cs 3.920 7.840 2.572
Cl 5.655 2.185 0.000
Se 0.000 0.000 0.000
Cs 7.840 3.920 2.572
Cl 7.840 7.840 2.367
Cl 2.185 5.655 0.000
Cl 3.920 3.920 2.777
```

Density, Mg/m³: 3.1
Formation energy without anion corrections, meV per atom: -1322.7
E, Ry per atom: -0.229

[3]
Computed, not measured: K2AgH after structural relaxation at the PBE level of DFT.

The structure in extended XYZ format:
```
4
Lattice="4.389 -0.785 3.295 -0.736 -1.101 5.384 1.116 -5.060 1.973" Properties=species:S:1:pos:R:3 pbc="T T T"
Ag 2.384 -3.473 5.325
K 1.192 -1.736 2.663
H 0.000 0.000 0.000
K 3.576 -5.209 7.988
```

Offset from the most stable computed form, meV per atom: 111
Density, Mg/m³: 2.6
E, Ry per atom: -0.146

[4]
Computed, not measured: TiFeSe after structural relaxation at the PBE level of DFT.

The structure in extended XYZ format:
```
6
Lattice="-3.702 1.218 0.070 -2.024 -0.106 3.330 0.880 8.735 3.094" Properties=species:S:1:pos:R:3 pbc="T T T"
Se -1.384 1.945 1.503
Ti -2.901 3.490 2.911
Se -3.463 7.902 4.992
Ti -1.945 6.358 3.584
Fe -4.226 5.612 4.455
Fe -0.620 4.235 2.040
```

Density, Mg/m³: 5.1
Formation energy without anion corrections, meV per atom: -545.7
E, Ry per atom: -0.526

[5]
Computed, not measured: ErNiSn2 after structural relaxation at the PBE level of DFT.

The structure in extended XYZ format:
```
16
Lattice="-0.941 -3.278 -2.808 7.831 1.646 -4.546 0.675 -4.727 8.768" Properties=species:S:1:pos:R:3 pbc="T T T"
Sn 4.579 -0.069 -1.453
Sn 0.686 -0.923 0.848
Sn 6.880 -5.435 0.567
Sn 2.987 -6.289 2.868
Sn 5.129 -2.800 1.551
Ni 7.048 -0.399 -1.896
Er 2.439 -3.281 3.014
Er 1.620 -1.200 -2.617
Sn -0.124 -4.097 1.350
Ni 3.201 -1.207 0.338
Er 5.127 -3.078 -1.599
Sn 2.437 -3.558 -0.137
Ni 4.365 -5.151 1.077
Ni 0.518 -5.960 3.310
Sn 7.690 -2.262 0.065
Er 5.271 -0.432 -4.736
```

Density, Mg/m³: 8.8
Energy of formation, eV/atom: -0.506
E, Ry per atom: -0.374

[6]
Computed, not measured: Tb5Cd4Sn after structural relaxation at the PBE level of DFT.

The structure in extended XYZ format:
```
10
Lattice="3.768 0.000 0.000 0.000 3.768 0.000 0.000 0.000 18.738" Properties=species:S:1:pos:R:3 pbc="T T T"
Tb 1.884 1.884 5.630
Cd 0.000 0.000 7.488
Tb 1.884 1.884 9.369
Tb 1.884 1.884 13.108
Cd 0.000 0.000 11.250
Cd 0.000 0.000 14.915
Tb 1.884 1.884 1.895
Cd 0.000 0.000 3.822
Sn 0.000 0.000 0.000
Tb 1.884 1.884 16.843
```

Density, Mg/m³: 8.5
Energy of formation, eV/atom: -0.389
E, Ry per atom: -0.255